A plane-wave DFT calculation with PBE-GGA was carried out for LaBeSeN2 after structural relaxation.

Summary:
Polymorph energy (0 for the lowest one) (eV per atom): 0.904
VASP energy (eV per atom): -4.73
Formation energy (no corrections) (eV/atom): 1.027
Total magnetic moment (μB/f.u.): 0.00

Unit cell a=4.0591 b=4.0591 c=6.5248 alpha=90.00 beta=90.00 gamma=90.00
With the nearest neighbours (Å) after each atom.
Positions (direct):
La 0.0000 0.0000 0.0000  4 N 2.03
Be 0.5000 0.5000 0.5000  4 Se 2.87
Se 0.0000 0.0000 0.5000  4 Be 2.87
N 0.0000 0.5000 0.0000  2 La 2.03
N 0.5000 0.0000 0.0000  2 La 2.03